Record 1
## NbPdRu (PBE-GGA)

Data for a geometry-optimized NbPdRu structure.

Properties
For the volume, the calculation gives 15.9 Å³ per atom. For the mass density, the calculation gives 10.46 g/cm³. As for the crystal system: monoclinic. The total energy comes out at -0.30906 hartree per atom. For the magnetic moment, the calculation gives 0.0 Bohr magnetons per cell. The calculation puts the energy of formation at -0.2306 eV per atom.

a b c (Å): 4.5261 3.1125 6.8516
angles (deg): 90.00 98.71 90.00
Space group P2/m (No. 10)
Symmetry-distinct sites (fractional):
Nb1 0.2143 0.0000 0.3251 x2
Pd1 0.0000 0.5000 0.0000 x1
Pd2 0.5000 0.0000 0.0000 x1
Ru1 0.2828 0.5000 0.6449 x2

Record 2
## NbPdRu (PBE-GGA)

Data for a geometry-optimized NbPdRu structure.

Properties
For the volume, the calculation gives 15.9 Å³ per atom. For the mass density, the calculation gives 10.48 g/cm³. As for the crystal system: monoclinic. The total energy comes out at -0.30531 hartree per atom. For the magnetic moment, the calculation gives 0.0 Bohr magnetons per cell. The calculation puts the energy of formation at -0.1284 eV per atom.

a b c (Å): 8.8100 3.9700 2.8058
angles (deg): 90.00 104.02 90.00
Space group Cm (No. 8)
Symmetry-distinct sites (fractional):
Nb1 0.0000 0.0000 0.0000 x2
Pd1 0.3251 0.0000 0.3709 x2
Ru1 0.1570 0.5000 0.7507 x2

Record 3
## Nb2PdRu (PBE-GGA)

Data for a geometry-optimized Nb2PdRu structure.

Properties
For the volume, the calculation gives 17.7 Å³ per atom. For the mass density, the calculation gives 9.24 g/cm³. As for the crystal system: tetragonal. The total energy comes out at -0.30979 hartree per atom. For the magnetic moment, the calculation gives 0.0 Bohr magnetons per cell. The calculation puts the energy of formation at 0.2222 eV per atom.

a b c (Å): 7.1391 7.1391 5.5452
angles (deg): 90.00 90.00 90.00
Space group I-42d (No. 122)
Symmetry-distinct sites (fractional):
Nb1 0.2329 0.2500 0.1250 x8
Pd1 0.0000 0.0000 0.5000 x4
Ru1 0.0000 0.0000 0.0000 x4

Record 4
## NbPdRu (PBE-GGA)

Data for a geometry-optimized NbPdRu structure.

Properties
For the volume, the calculation gives 15.9 Å³ per atom. For the mass density, the calculation gives 10.46 g/cm³. As for the crystal system: orthorhombic. The total energy comes out at -0.30949 hartree per atom. For the magnetic moment, the calculation gives 0.0 Bohr magnetons per cell. The calculation puts the energy of formation at -0.2422 eV per atom.

a b c (Å): 3.1177 13.4471 4.5479
angles (deg): 90.00 90.00 90.00
Space group Amm2 (No. 38)
Symmetry-distinct sites (fractional):
Nb1 0.0000 0.1620 0.0000 x4
Pd1 0.0000 0.0000 0.3606 x2
Pd2 0.5000 0.0000 0.8534 x2
Ru1 0.5000 0.1773 0.4977 x4

Record 5
## Nb2PdRu2 (PBE-GGA)

Data for a geometry-optimized Nb2PdRu2 structure.

Properties
For the volume, the calculation gives 16.8 Å³ per atom. For the mass density, the calculation gives 9.76 g/cm³. As for the crystal system: tetragonal. The total energy comes out at -0.32315 hartree per atom. For the magnetic moment, the calculation gives 0.0 Bohr magnetons per cell. The calculation puts the energy of formation at -0.0167 eV per atom.

a b c (Å): 7.4950 7.4950 2.9956
angles (deg): 90.00 90.00 90.00
Space group P4/mbm (No. 127)
Symmetry-distinct sites (fractional):
Nb1 0.1529 0.3471 0.0000 x4
Pd1 0.0000 0.0000 0.0000 x2
Ru1 0.1442 0.6442 0.5000 x4

Record 6
## NbPdRu (PBE-GGA)

Data for a geometry-optimized NbPdRu structure.

Properties
For the volume, the calculation gives 16.0 Å³ per atom. For the mass density, the calculation gives 10.38 g/cm³. As for the crystal system: monoclinic. The total energy comes out at -0.30876 hartree per atom. For the magnetic moment, the calculation gives 0.0 Bohr magnetons per cell. The calculation puts the energy of formation at -0.2222 eV per atom.

a b c (Å): 9.8979 2.9712 6.8505
angles (deg): 90.00 107.44 90.00
Space group C2/m (No. 12)
Symmetry-distinct sites (fractional):
Nb1 0.0324 0.0000 0.2610 x4
Pd1 0.1726 0.5000 0.6142 x4
Ru1 0.1458 0.5000 0.0240 x4

Record 7
## NbPdRu (PBE-GGA)

Data for a geometry-optimized NbPdRu structure.

Properties
For the volume, the calculation gives 15.9 Å³ per atom. For the mass density, the calculation gives 10.43 g/cm³. As for the crystal system: trigonal. The total energy comes out at -0.29934 hartree per atom. For the magnetic moment, the calculation gives 0.0 Bohr magnetons per cell. The calculation puts the energy of formation at 0.0341 eV per atom.

a b c (Å): 4.4826 4.4826 2.7478
angles (deg): 90.00 90.00 120.00
Space group P3m1 (No. 156)
Symmetry-distinct sites (fractional):
Nb1 0.0000 0.0000 0.0000 x1
Pd1 0.3333 0.6667 0.4999 x1
Ru1 0.6667 0.3333 0.5023 x1

Record 8
## NbPdRu (PBE-GGA)

Data for a geometry-optimized NbPdRu structure.

Properties
For the volume, the calculation gives 15.9 Å³ per atom. For the mass density, the calculation gives 10.45 g/cm³. As for the crystal system: monoclinic. The total energy comes out at -0.30621 hartree per atom. For the magnetic moment, the calculation gives 0.0 Bohr magnetons per cell. The calculation puts the energy of formation at -0.1528 eV per atom.

a b c (Å): 9.0025 3.9801 5.7564
angles (deg): 90.00 112.22 90.00
Space group C2/m (No. 12)
Symmetry-distinct sites (fractional):
Nb1 0.1617 0.0000 0.0958 x4
Pd1 0.1653 0.0000 0.5734 x4
Ru1 0.0240 0.5000 0.7642 x4

Record 9
## Nb2PdRu (PBE-GGA)

Data for a geometry-optimized Nb2PdRu structure.

Properties
For the volume, the calculation gives 16.6 Å³ per atom. For the mass density, the calculation gives 9.86 g/cm³. As for the crystal system: tetragonal. The total energy comes out at -0.32192 hartree per atom. For the magnetic moment, the calculation gives 0.0 Bohr magnetons per cell. The calculation puts the energy of formation at -0.1078 eV per atom.

a b c (Å): 4.7386 4.7386 2.9503
angles (deg): 90.00 90.00 90.00
Space group P4/mmm (No. 123)
Symmetry-distinct sites (fractional):
Nb1 0.0000 0.5000 0.0000 x2
Pd1 0.0000 0.0000 0.5000 x1
Ru1 0.5000 0.5000 0.5000 x1

Record 10
## NbPdRu (PBE-GGA)

Data for a geometry-optimized NbPdRu structure.

Properties
For the volume, the calculation gives 15.9 Å³ per atom. For the mass density, the calculation gives 10.47 g/cm³. As for the crystal system: monoclinic. The total energy comes out at -0.30676 hartree per atom. For the magnetic moment, the calculation gives 0.0 Bohr magnetons per cell. The calculation puts the energy of formation at -0.1679 eV per atom.

a b c (Å): 8.3165 5.0257 5.5991
angles (deg): 90.00 125.47 90.00
Space group Cc (No. 9)
Symmetry-distinct sites (fractional):
Nb1 0.0000 0.1186 0.0000 x4
Pd1 0.1610 0.3912 0.5185 x4
Ru1 0.3221 0.1071 0.0240 x4

Record 11
## NbPdRu (PBE-GGA)

Data for a geometry-optimized NbPdRu structure.

Properties
For the volume, the calculation gives 15.7 Å³ per atom. For the mass density, the calculation gives 10.56 g/cm³. As for the crystal system: orthorhombic. The total energy comes out at -0.30822 hartree per atom. For the magnetic moment, the calculation gives 0.0 Bohr magnetons per cell. The calculation puts the energy of formation at -0.2077 eV per atom.

a b c (Å): 2.8815 14.5587 4.5030
angles (deg): 90.00 90.00 90.00
Space group Cmcm (No. 63)
Symmetry-distinct sites (fractional):
Nb1 0.0000 0.1164 0.2500 x4
Pd1 0.0000 0.4431 0.2500 x4
Ru1 0.0000 0.2277 0.7500 x4

Record 12
## Nb2PdRu (PBE-GGA)

Data for a geometry-optimized Nb2PdRu structure.

Properties
For the volume, the calculation gives 16.4 Å³ per atom. For the mass density, the calculation gives 9.96 g/cm³. As for the crystal system: tetragonal. The total energy comes out at -0.32724 hartree per atom. For the magnetic moment, the calculation gives 0.0 Bohr magnetons per cell. The calculation puts the energy of formation at -0.2526 eV per atom.

a b c (Å): 2.9112 2.9112 7.7370
angles (deg): 90.00 90.00 90.00
Space group P4/mmm (No. 123)
Symmetry-distinct sites (fractional):
Nb1 0.0000 0.0000 0.2343 x2
Pd1 0.5000 0.5000 0.5000 x1
Ru1 0.5000 0.5000 0.0000 x1